First-principles (PBE) data for crystalline NdZn4Pt at its relaxed geometry, as listed in Alexandria via LeMat-Bulk.

Output
DOS at the Fermi energy in states/eV/atom: 0.7261
Total magnetization in μB per formula unit: 0.00
Calculated total energy in eV/atom: -3.002
ρ in g cm⁻³: 9.60

CIF file:
```
data_NdZn4Pt
_cell_length_a 7.464
_cell_length_b 7.464
_cell_length_c 7.464
_cell_angle_alpha 90.00
_cell_angle_beta 90.00
_cell_angle_gamma 90.00
_symmetry_space_group_name_H-M 'F -4 3 m'
_symmetry_Int_Tables_number 216
_symmetry_space_group_name_Hall 'F -4 2 3'
loop_
_atom_site_label
_atom_site_fract_x
_atom_site_fract_y
_atom_site_fract_z
_atom_site_occupancy
Nd1 0.000 0.000 0.000 1
Zn1 0.124 0.124 0.376 1
Pt1 0.250 0.250 0.750 1
```